{
  "formula": "BeRu2Pt",
  "functional": "PBE",
  "state": "optimized geometry",
  "crystal_system": "monoclinic",
  "space_group": "No. 12",
  "volume_a3_per_atom": 13.75,
  "final_energy_ev_per_cell": -27.6,
  "formation_energy_ev_per_fu": 0.76,
  "total_magnetization_mub_per_atom": 0.000,
  "lattice_angstrom": [[2.541, -4.586, 0.000], [2.541, 4.586, 0.000], [-1.286, 0.000, 2.360]],
  "species": ["Be", "Ru", "Ru", "Pt"],
  "fractional_positions": [[0.000, 0.000, 0.000], [0.000, 0.500, 0.500], [0.500, 0.000, 0.500], [0.500, 0.500, 0.000]]
}

=====

{
  "formula": "Gd3InC",
  "functional": "PBE",
  "state": "optimized geometry",
  "crystal_system": "cubic",
  "space_group": "No. 221",
  "polymorph_energy_ev_per_atom": 1.999,
  "volume_a3_per_atom": 36.63,
  "final_energy_ev_per_cell": -46.5,
  "formation_energy_ev_per_fu": 7.71,
  "total_magnetization_mub_per_atom": 4.283,
  "lattice_angstrom": [[5.679, 0.000, 0.000], [0.000, 5.679, 0.000], [0.000, 0.000, 5.679]],
  "species": ["Gd", "Gd", "Gd", "In", "C"],
  "fractional_positions": [[0.000, 0.000, 0.500], [0.000, 0.500, 0.000], [0.500, 0.000, 0.000], [0.000, 0.000, 0.000], [0.500, 0.500, 0.500]]
}

=====

{
  "formula": "EuZnCu",
  "functional": "PBE",
  "state": "optimized geometry",
  "crystal_system": "hexagonal",
  "space_group": "No. 187",
  "polymorph_energy_ev_per_atom": 0.000,
  "volume_a3_per_atom": 22.13,
  "final_energy_ev_per_cell": -16.3,
  "formation_energy_ev_per_fu": -0.64,
  "total_magnetization_mub_per_atom": 2.407,
  "lattice_angstrom": [[4.393, 0.000, 0.000], [-2.196, 3.804, 0.000], [0.000, 0.000, 3.973]],
  "species": ["Eu", "Zn", "Cu"],
  "fractional_positions": [[0.000, 0.000, 0.000], [0.333, 0.667, 0.500], [0.667, 0.333, 0.500]]
}